Y6Ho3Sc: optimized geometry, PBE.

Lattice parameters (Å, degrees): 9.7466 9.7466 11.6565 90.00 90.00 120.00
Space group R3 (No. 146, hexagonal axes)
Unique sites:
Y 0.0008 0.6775 0.0000 (multiplicity 9)
Y 0.0073 0.3354 0.5004 (multiplicity 9)
Ho 0.0000 0.0000 0.1507 (multiplicity 3)
Ho 0.0000 0.0000 0.3975 (multiplicity 3)
Ho 0.0000 0.0000 0.6582 (multiplicity 3)
Sc 0.0000 0.0000 0.9007 (multiplicity 3)

Calculated values
Size of the total moment ... 0.9 μB per cell
Energy of formation from the pure elements ... 225 meV per atom
Polymorph energy (0 for the lowest one) ... 0.084 eV/atom
Final energy ... -5.660 eV per atom